NpMn2C3 | PBE | relaxed

The crystal system is orthorhombic. The value obtained for the formation energy is 16.9 kJ/mol of atoms. Its space-group type is Cmcm (63).

```
NpMn2C3
1.0
-2.678 1.732 3.624
0.103 -5.932 2.911
3.593 4.088 0.701
Mn C Np
4 6 2
direct
0.000 0.189 0.000
0.000 0.811 0.000
0.500 0.189 0.000
0.500 0.811 0.000
0.750 0.473 0.158
0.750 0.685 0.158
0.250 0.091 0.183
0.750 0.909 0.817
0.250 0.527 0.842
0.250 0.315 0.842
0.250 0.705 0.409
0.750 0.295 0.591
```